# Ni2SnP (SCAN, PBEsol geometry)
data_Ni2SnP
_chemical_formula_sum 'Ni8 Sn4 P4'
_symmetry_space_group_name_H-M 'P n m a'
_symmetry_Int_Tables_number 62
_symmetry_space_group_name_Hall '-P 2ac 2n'
_cell_length_a 12.9014
_cell_length_b 3.5351
_cell_length_c 5.0002
_cell_angle_alpha 90.00
_cell_angle_beta 90.00
_cell_angle_gamma 90.00
loop_
_atom_site_label
_atom_site_type_symbol
_atom_site_fract_x
_atom_site_fract_y
_atom_site_fract_z
_atom_site_occupancy
Ni1 Ni 0.0773 0.2500 0.0153 1
Ni2 Ni 0.1144 0.2500 0.5021 1
Sn1 Sn 0.2048 0.7500 0.7972 1
P1 P 0.0428 0.7500 0.2915 1
# DOS(E_F): 0.3223 states/eV per atom
# Raw total energy: -20.057 eV/atom

# Cr2InNi (SCAN, PBEsol geometry)
data_Cr2InNi
_chemical_formula_sum 'Cr4 In2 Ni2'
_symmetry_space_group_name_H-M 'I 4/m m m'
_symmetry_Int_Tables_number 139
_symmetry_space_group_name_Hall '-I 4 2'
_cell_length_a 3.5294
_cell_length_b 3.5294
_cell_length_c 8.3189
_cell_angle_alpha 90.00
_cell_angle_beta 90.00
_cell_angle_gamma 90.00
loop_
_atom_site_label
_atom_site_type_symbol
_atom_site_fract_x
_atom_site_fract_y
_atom_site_fract_z
_atom_site_occupancy
Cr1 Cr 0.0000 0.5000 0.2500 1
In1 In 0.0000 0.0000 0.0000 1
Ni1 Ni 0.0000 0.0000 0.5000 1
# DOS(E_F): 0.6526 states/eV per atom
# Raw total energy: -21.274 eV/atom

# CrFe2Se (SCAN, PBEsol geometry)
data_CrFe2Se
_chemical_formula_sum 'Cr1 Fe2 Se1'
_symmetry_space_group_name_H-M 'P 4/m m m'
_symmetry_Int_Tables_number 123
_symmetry_space_group_name_Hall '-P 4 2'
_cell_length_a 2.9684
_cell_length_b 2.9684
_cell_length_c 5.3326
_cell_angle_alpha 90.00
_cell_angle_beta 90.00
_cell_angle_gamma 90.00
loop_
_atom_site_label
_atom_site_type_symbol
_atom_site_fract_x
_atom_site_fract_y
_atom_site_fract_z
_atom_site_occupancy
Cr1 Cr 0.0000 0.0000 0.0000 1
Fe1 Fe 0.5000 0.5000 0.2379 1
Se1 Se 0.0000 0.0000 0.5000 1
# ΔE to the lowest computed polymorph: 2 meV per atom
# DOS(E_F): 1.2004 states/eV per atom

# SrTcP2 (SCAN, PBEsol geometry)
data_SrTcP2
_chemical_formula_sum 'Sr2 Tc2 P4'
_symmetry_space_group_name_H-M 'C 1 2/m 1'
_symmetry_Int_Tables_number 12
_symmetry_space_group_name_Hall '-C 2y'
_cell_length_a 5.9972
_cell_length_b 7.2158
_cell_length_c 3.2711
_cell_angle_alpha 90.00
_cell_angle_beta 100.64
_cell_angle_gamma 90.00
loop_
_atom_site_label
_atom_site_type_symbol
_atom_site_fract_x
_atom_site_fract_y
_atom_site_fract_z
_atom_site_occupancy
Sr1 Sr 0.0000 0.0000 0.0000 1
Tc1 Tc 0.0000 0.5000 0.0000 1
P1 P 0.2500 0.2500 0.5000 1
# ΔE to the lowest computed polymorph: 961 meV per atom
# DOS(E_F): 0.8355 states/eV per atom

# ScNbGa3 (SCAN, PBEsol geometry)
data_ScNbGa3
_chemical_formula_sum 'Sc1 Nb1 Ga3'
_symmetry_space_group_name_H-M 'P m -3 m'
_symmetry_Int_Tables_number 221
_symmetry_space_group_name_Hall '-P 4 2 3'
_cell_length_a 4.8402
_cell_length_b 4.8402
_cell_length_c 4.8402
_cell_angle_alpha 90.00
_cell_angle_beta 90.00
_cell_angle_gamma 90.00
loop_
_atom_site_label
_atom_site_type_symbol
_atom_site_fract_x
_atom_site_fract_y
_atom_site_fract_z
_atom_site_occupancy
Sc1 Sc 0.0000 0.0000 0.0000 1
Nb1 Nb 0.5000 0.5000 0.5000 1
Ga1 Ga 0.0000 0.5000 0.5000 1
# ΔE to the lowest computed polymorph: 0 meV per atom
# DOS(E_F): 0.5488 states/eV per atom

# BeSb2As (SCAN, PBEsol geometry)
data_BeSb2As
_chemical_formula_sum 'Be2 Sb4 As2'
_symmetry_space_group_name_H-M 'C m m 2'
_symmetry_Int_Tables_number 35
_symmetry_space_group_name_Hall 'C 2 -2'
_cell_length_a 3.7539
_cell_length_b 5.1229
_cell_length_c 8.5254
_cell_angle_alpha 90.00
_cell_angle_beta 90.00
_cell_angle_gamma 90.00
loop_
_atom_site_label
_atom_site_type_symbol
_atom_site_fract_x
_atom_site_fract_y
_atom_site_fract_z
_atom_site_occupancy
Be1 Be 0.0000 0.0000 0.0000 1
Sb1 Sb 0.0000 0.0000 0.4548 1
Sb2 Sb 0.0000 0.5000 0.7779 1
As1 As 0.0000 0.5000 0.1437 1
# ΔE to the lowest computed polymorph: 226 meV per atom
# DOS(E_F): 0.4311 states/eV per atom

# NaGaSn2Pb (SCAN, PBEsol geometry)
data_NaGaSn2Pb
_chemical_formula_sum 'Na1 Ga1 Sn2 Pb1'
_symmetry_space_group_name_H-M 'P 4/m m m'
_symmetry_Int_Tables_number 123
_symmetry_space_group_name_Hall '-P 4 2'
_cell_length_a 5.7465
_cell_length_b 5.7465
_cell_length_c 5.5449
_cell_angle_alpha 90.00
_cell_angle_beta 90.00
_cell_angle_gamma 90.00
loop_
_atom_site_label
_atom_site_type_symbol
_atom_site_fract_x
_atom_site_fract_y
_atom_site_fract_z
_atom_site_occupancy
Na1 Na 0.0000 0.0000 0.0000 1
Ga1 Ga 0.5000 0.5000 0.0000 1
Sn1 Sn 0.0000 0.5000 0.5000 1
Pb1 Pb 0.0000 0.0000 0.5000 1
# DOS(E_F): 0.8012 states/eV per atom
# Raw total energy: -33.043 eV/atom

# TcTe2Pt (SCAN, PBEsol geometry)
data_TcTe2Pt
_chemical_formula_sum 'Tc3 Te6 Pt3'
_symmetry_space_group_name_H-M 'R 3 m'
_symmetry_Int_Tables_number 160
_symmetry_space_group_name_Hall 'R 3 -2"'
_cell_length_a 3.2835
_cell_length_b 3.2835
_cell_length_c 28.1259
_cell_angle_alpha 90.00
_cell_angle_beta 90.00
_cell_angle_gamma 120.00
loop_
_atom_site_label
_atom_site_type_symbol
_atom_site_fract_x
_atom_site_fract_y
_atom_site_fract_z
_atom_site_occupancy
Tc1 Tc 0.0000 0.0000 0.0000 1
Te1 Te 0.0000 0.0000 0.2692 1
Te2 Te 0.0000 0.0000 0.4718 1
Pt1 Pt 0.0000 0.0000 0.7382 1
# ΔE to the lowest computed polymorph: 39 meV per atom
# DOS(E_F): 0.8663 states/eV per atom

# TaMoW2 (SCAN, PBEsol geometry)
data_TaMoW2
_chemical_formula_sum 'Ta1 Mo1 W2'
_symmetry_space_group_name_H-M 'P m m m'
_symmetry_Int_Tables_number 47
_symmetry_space_group_name_Hall '-P 2 2'
_cell_length_a 3.1733
_cell_length_b 4.4699
_cell_length_c 4.5016
_cell_angle_alpha 90.00
_cell_angle_beta 90.00
_cell_angle_gamma 90.00
loop_
_atom_site_label
_atom_site_type_symbol
_atom_site_fract_x
_atom_site_fract_y
_atom_site_fract_z
_atom_site_occupancy
Ta1 Ta 0.0000 0.0000 0.0000 1
Mo1 Mo 0.5000 0.5000 0.0000 1
W1 W 0.0000 0.5000 0.5000 1
W2 W 0.5000 0.0000 0.5000 1
# ΔE to the lowest computed polymorph: 5 meV per atom
# DOS(E_F): 0.4012 states/eV per atom

# TiTeI2N (SCAN, PBEsol geometry)
data_TiTeI2N
_chemical_formula_sum 'Ti1 Te1 I2 N1'
_symmetry_space_group_name_H-M 'P 4/m m m'
_symmetry_Int_Tables_number 123
_symmetry_space_group_name_Hall '-P 4 2'
_cell_length_a 4.8462
_cell_length_b 4.8462
_cell_length_c 4.7464
_cell_angle_alpha 90.00
_cell_angle_beta 90.00
_cell_angle_gamma 90.00
loop_
_atom_site_label
_atom_site_type_symbol
_atom_site_fract_x
_atom_site_fract_y
_atom_site_fract_z
_atom_site_occupancy
Ti1 Ti 0.0000 0.0000 0.0000 1
Te1 Te 0.5000 0.5000 0.0000 1
I1 I 0.0000 0.5000 0.5000 1
N1 N 0.5000 0.5000 0.5000 1
# DOS(E_F): 0.4525 states/eV per atom
# Raw total energy: -26.360 eV/atom

# YCr2P (SCAN, PBEsol geometry)
data_YCr2P
_chemical_formula_sum 'Y1 Cr2 P1'
_symmetry_space_group_name_H-M 'P 4/m m m'
_symmetry_Int_Tables_number 123
_symmetry_space_group_name_Hall '-P 4 2'
_cell_length_a 3.8078
_cell_length_b 3.8078
_cell_length_c 4.0321
_cell_angle_alpha 90.00
_cell_angle_beta 90.00
_cell_angle_gamma 90.00
loop_
_atom_site_label
_atom_site_type_symbol
_atom_site_fract_x
_atom_site_fract_y
_atom_site_fract_z
_atom_site_occupancy
Y1 Y 0.0000 0.0000 0.0000 1
Cr1 Cr 0.0000 0.5000 0.5000 1
P1 P 0.5000 0.5000 0.0000 1
# DOS(E_F): 0.6681 states/eV per atom
# Raw total energy: -18.515 eV/atom

# Li2ReNi (SCAN, PBEsol geometry)
data_Li2ReNi
_chemical_formula_sum 'Li2 Re1 Ni1'
_symmetry_space_group_name_H-M 'P 4/m m m'
_symmetry_Int_Tables_number 123
_symmetry_space_group_name_Hall '-P 4 2'
_cell_length_a 3.4060
_cell_length_b 3.4060
_cell_length_c 4.3522
_cell_angle_alpha 90.00
_cell_angle_beta 90.00
_cell_angle_gamma 90.00
loop_
_atom_site_label
_atom_site_type_symbol
_atom_site_fract_x
_atom_site_fract_y
_atom_site_fract_z
_atom_site_occupancy
Li1 Li 0.0000 0.5000 0.0000 1
Re1 Re 0.0000 0.0000 0.5000 1
Ni1 Ni 0.5000 0.5000 0.5000 1
# ΔE to the lowest computed polymorph: 124 meV per atom
# DOS(E_F): 0.8618 states/eV per atom